Computed, not measured: a relaxed LaIn2Cl crystal at the PBE level of DFT.

E_form (uncorrected): -0.59 eV per atom
ΔE to the lowest computed polymorph: 0.199 eV per atom

a = 6.080 Å, b = 10.484 Å, c = 3.515 Å
α = 90.00°, β = 90.00°, γ = 90.00°
Space group Cmmm (No. 65)
Asymmetric unit:
La1 0.000 0.000 0.000
In1 0.250 0.250 0.500
Cl1 0.000 0.500 0.000

Computed, not measured: a relaxed LaInCl2 crystal at the PBE level of DFT.

E_form (uncorrected): -1.28 eV per atom
ΔE to the lowest computed polymorph: 0.080 eV per atom

a = 4.029 Å, b = 4.029 Å, c = 7.248 Å
α = 90.00°, β = 90.00°, γ = 90.00°
Space group P4mm (No. 99)
Asymmetric unit:
La1 0.000 0.000 0.000
In1 0.500 0.500 0.674
Cl1 0.000 0.000 0.374
Cl2 0.500 0.500 0.094

Computed, not measured: a relaxed LaInCl2 crystal at the PBE level of DFT.

E_form (uncorrected): -1.26 eV per atom
ΔE to the lowest computed polymorph: 0.109 eV per atom

a = 3.861 Å, b = 4.634 Å, c = 5.870 Å
α = 90.00°, β = 90.00°, γ = 90.00°
Space group Pmmm (No. 47)
Asymmetric unit:
La1 0.000 0.000 0.000
In1 0.500 0.000 0.500
Cl1 0.000 0.500 0.500
Cl2 0.500 0.500 0.000

Computed, not measured: a relaxed La2InCl8 crystal at the PBE level of DFT.

E_form (uncorrected): -1.93 eV per atom

a = 11.646 Å, b = 8.950 Å, c = 6.915 Å
α = 90.00°, β = 105.76°, γ = 90.00°
Space group C2/m (No. 12)
Asymmetric unit:
La1 0.180 0.000 0.442
In1 0.000 0.500 0.000
Cl1 0.066 0.000 0.755
Cl2 0.147 0.306 0.288
Cl3 0.160 0.500 0.788

Computed, not measured: a relaxed LiLaIn2Cl6 crystal at the PBE level of DFT.

E_form (uncorrected): -1.62 eV per atom

a = 12.753 Å, b = 7.435 Å, c = 7.576 Å
α = 90.00°, β = 124.85°, γ = 90.00°
Space group C2/m (No. 12)
Asymmetric unit:
Li1 0.000 0.000 0.000
La1 0.000 0.500 0.500
In1 0.242 0.500 0.213
Cl1 0.053 0.244 0.812
Cl2 0.242 0.000 0.334

Computed, not measured: a relaxed Li2LaInCl crystal at the PBE level of DFT.

E_form (uncorrected): -0.39 eV per atom

a = 4.747 Å, b = 4.747 Å, c = 6.434 Å
α = 90.00°, β = 90.00°, γ = 90.00°
Space group P4/mmm (No. 123)
Asymmetric unit:
Li1 0.000 0.500 0.000
La1 0.000 0.000 0.500
In1 0.500 0.500 0.500
Cl1 0.500 0.500 0.000

Computed, not measured: a relaxed LaInMo2Cl crystal at the PBE level of DFT.

E_form (uncorrected): 0.58 eV per atom

a = 4.594 Å, b = 4.594 Å, c = 5.248 Å
α = 90.00°, β = 90.00°, γ = 90.00°
Space group P4/mmm (No. 123)
Asymmetric unit:
La1 0.000 0.000 0.000
In1 0.500 0.500 0.000
Mo1 0.000 0.500 0.500
Cl1 0.000 0.000 0.500

Computed, not measured: a relaxed La6InOs2Cl3 crystal at the PBE level of DFT.

E_form (uncorrected): -0.96 eV per atom

a = 20.848 Å, b = 4.139 Å, c = 9.081 Å
α = 90.00°, β = 105.01°, γ = 90.00°
Space group C2/m (No. 12)
Asymmetric unit:
La1 0.037 0.000 0.285
La2 0.166 0.500 0.127
La3 0.187 0.500 0.581
In1 0.000 0.500 0.000
Os1 0.170 0.000 0.348
Cl1 0.000 0.500 0.500
Cl2 0.182 0.000 0.856

Computed, not measured: a relaxed La2InPCl crystal at the PBE level of DFT.

E_form (uncorrected): -0.61 eV per atom

a = 5.704 Å, b = 5.704 Å, c = 4.871 Å
α = 90.00°, β = 90.00°, γ = 90.00°
Space group P4/mmm (No. 123)
Asymmetric unit:
La1 0.000 0.500 0.000
In1 0.000 0.000 0.500
P1 0.000 0.000 0.000
Cl1 0.500 0.500 0.500

Computed, not measured: a relaxed LaInPbCl6 crystal at the PBE level of DFT.

E_form (uncorrected): -1.63 eV per atom

a = 7.5147 Å, b = 7.5147 Å, c = 13.3888 Å
α = 90.00°, β = 90.00°, γ = 120.00°
Space group P-31c (No. 163)
Asymmetric unit:
La1 0.3333 0.6667 0.2500
In1 0.0000 0.0000 0.0000
Pb1 0.3333 0.6667 0.7500
Cl1 0.0114 0.3677 0.1340

Computed, not measured: a relaxed LaInPt2Cl crystal at the PBE level of DFT.

E_form (uncorrected): 0.14 eV per atom

a = 4.866 Å, b = 4.866 Å, c = 5.140 Å
α = 90.00°, β = 90.00°, γ = 90.00°
Space group P4/mmm (No. 123)
Asymmetric unit:
La1 0.000 0.000 0.000
In1 0.500 0.500 0.000
Pt1 0.000 0.500 0.500
Cl1 0.500 0.500 0.500

Computed, not measured: a relaxed La2InRuCl crystal at the PBE level of DFT.

E_form (uncorrected): 0.80 eV per atom

a = 6.058 Å, b = 6.058 Å, c = 5.102 Å
α = 90.00°, β = 90.00°, γ = 90.00°
Space group P4/mmm (No. 123)
Asymmetric unit:
La1 0.000 0.500 0.000
In1 0.000 0.000 0.000
Ru1 0.500 0.500 0.500
Cl1 0.000 0.000 0.500

Computed, not measured: a relaxed LaInSCl2 crystal at the PBE level of DFT.

E_form (uncorrected): -1.53 eV per atom

a = 5.614 Å, b = 5.614 Å, c = 5.528 Å
α = 90.00°, β = 90.00°, γ = 90.00°
Space group P4/mmm (No. 123)
Asymmetric unit:
La1 0.000 0.000 0.000
In1 0.500 0.500 0.500
S1 0.000 0.000 0.500
Cl1 0.000 0.500 0.000

Computed, not measured: a relaxed LaScIn2Cl crystal at the PBE level of DFT.

E_form (uncorrected): 0.11 eV per atom

a = 5.534 Å, b = 5.534 Å, c = 5.717 Å
α = 90.00°, β = 90.00°, γ = 90.00°
Space group P4/mmm (No. 123)
Asymmetric unit:
La1 0.000 0.000 0.000
Sc1 0.000 0.000 0.500
In1 0.000 0.500 0.500
Cl1 0.500 0.500 0.000

no.,E (eV/atom)
1,-3.655
2,-4.125
3,-4.096
4,-4.416
5,-3.961
6,-3.060
7,-5.653
8,-5.985
9,-4.581
10,-4.127
11,-4.179
12,-3.941
13,-4.625
14,-3.604